A plane-wave DFT calculation with GGA-PBE was carried out for a geometry-optimized TlSnPt6 structure.

It has space group P4/mmm (No. 123), with a = 4.080 Å, b = 4.080 Å, c = 8.142 Å, α = 90.00°, β = 90.00° and γ = 90.00°. The asymmetric unit holds Tl at (0.000, 0.000, 0.000), Sn at (0.000, 0.000, 0.500), Pt at (0.000, 0.500, 0.256), Pt at (0.500, 0.500, 0.000) and Pt at (0.500, 0.500, 0.500).

The energy comes out at -5.556 eV/atom. The energy relative to the elements comes out at -1.8 eV per formula unit. As for the spin magnetization: 0.000 Bohr magnetons per cell.

---

A plane-wave DFT calculation with GGA-PBE was carried out for a geometry-optimized TlSn2Pt structure.

It has space group Fm-3m (No. 225), with a = 7.202 Å, b = 7.202 Å, c = 7.202 Å, α = 90.00°, β = 90.00° and γ = 90.00°. The asymmetric unit holds Tl at (0.000, 0.000, 0.000), Sn at (0.250, 0.250, 0.250) and Pt at (0.000, 0.000, 0.500).

The energy comes out at -4.056 eV/atom. The energy relative to the elements comes out at 0.2 eV per formula unit. As for the spin magnetization: 0.000 Bohr magnetons per cell. Its energy above the most stable polymorph in this dataset is 1.199 eV/f.u.

---

A plane-wave DFT calculation with GGA-PBE was carried out for a geometry-optimized Tm6Sn3Pt structure.

It has space group P2_1/c (No. 14), with a = 6.090 Å, b = 8.571 Å, c = 12.055 Å, α = 90.00°, β = 118.55° and γ = 90.00°. The asymmetric unit holds Tm at (0.058, 0.162, 0.440), Tm at (0.338, 0.693, 0.438), Tm at (0.403, 0.050, 0.263), Sn at (0.000, 0.000, 0.000), Sn at (0.161, 0.113, 0.762) and Pt at (0.500, 0.000, 0.500).

The energy comes out at -5.116 eV/atom. The energy relative to the elements comes out at -6.3 eV per formula unit. As for the spin magnetization: 0.000 Bohr magnetons per cell.

---

A plane-wave DFT calculation with GGA-PBE was carried out for a geometry-optimized Tm2SnPt structure.

It has space group P2_1/m (No. 11), with a = 6.013 Å, b = 4.351 Å, c = 7.969 Å, α = 90.00°, β = 111.75° and γ = 90.00°. The asymmetric unit holds Tm at (0.198, 0.250, 0.445), Tm at (0.234, 0.250, 0.904), Sn at (0.318, 0.750, 0.208) and Pt at (0.333, 0.750, 0.704).

The energy comes out at -5.769 eV/atom. The energy relative to the elements comes out at -4.1 eV per formula unit. As for the spin magnetization: 0.000 Bohr magnetons per cell.

---

A plane-wave DFT calculation with GGA-PBE was carried out for a geometry-optimized Tm8Sn2Pt structure.

It has space group C2/m (No. 12), with a = 19.100 Å, b = 4.920 Å, c = 6.584 Å, α = 90.00°, β = 104.64° and γ = 90.00°. The asymmetric unit holds Tm at (0.021, 0.000, 0.282), Tm at (0.091, 0.500, 0.963), Tm at (0.147, 0.500, 0.505), Tm at (0.219, 0.000, 0.824), Sn at (0.182, 0.000, 0.262) and Pt at (0.000, 0.500, 0.500).

The energy comes out at -5.041 eV/atom. The energy relative to the elements comes out at -5.6 eV per formula unit. As for the spin magnetization: 0.000 Bohr magnetons per cell.

---

A plane-wave DFT calculation with GGA-PBE was carried out for a geometry-optimized Tm3Sn2Pt structure.

It has space group Pnma (No. 62), with a = 12.042 Å, b = 4.461 Å, c = 11.396 Å, α = 90.00°, β = 90.00° and γ = 90.00°. The asymmetric unit holds Tm at (0.054, 0.250, 0.128), Tm at (0.122, 0.750, 0.553), Tm at (0.238, 0.250, 0.797), Sn at (0.004, 0.250, 0.695), Sn at (0.185, 0.750, 0.005) and Pt at (0.122, 0.250, 0.372).

The energy comes out at -5.448 eV/atom. The energy relative to the elements comes out at -5.2 eV per formula unit. As for the spin magnetization: 0.000 Bohr magnetons per cell.